Here is a geometry-optimized CeNd2Hg4 structure from Alexandria. Energies are from PBE.

Unit cell a=8.9297 b=8.9297 c=8.9297 alpha=142.46 beta=142.46 gamma=54.13
Fractional coordinates of all 7 atoms:
Ce  0.0000  0.0000  0.0000
Nd  0.3978  0.3978  0.0000
Nd  0.6022  0.6022  0.0000
Hg  0.0000  0.5000  0.5000
Hg  0.1981  0.1981  0.0000
Hg  0.5000  0.0000  0.5000
Hg  0.8019  0.8019  0.0000

Properties
energy relative to the elements: 0.062 eV per atom
space group: I4/mmm (139)


Here is a geometry-optimized As2PIr structure from Alexandria. Energies are from PBE.

Unit cell a=7.1320 b=7.1320 c=7.1320 alpha=28.68 beta=28.68 gamma=28.68
Fractional coordinates of all 4 atoms:
As  0.0000  0.0000  0.0000
As  0.2613  0.2613  0.2613
P  0.4841  0.4841  0.4841
Ir  0.7653  0.7653  0.7653

Properties
energy relative to the elements: -0.002 eV per atom
space group: R3m (160)